A plane-wave DFT calculation with PBE+U was carried out for crystalline K2AcV2O6 at its relaxed geometry.

Output
Space-group type: R-3m (166)
Total DFT energy (no corrections) (eV/atom): -6.76

Unit cell a=7.434 b=7.434 c=7.434 alpha=49.77 beta=49.77 gamma=49.77
Fractional positions:
K 0.200 0.200 0.200
K 0.800 0.800 0.800
Ac 0.000 0.000 0.000
V 0.424 0.424 0.424
V 0.576 0.576 0.576
O 0.257 0.257 0.742
O 0.257 0.742 0.257
O 0.258 0.743 0.743
O 0.742 0.257 0.257
O 0.743 0.258 0.743
O 0.743 0.743 0.258